1.
# ErZrAs

Crystalline ErZrAs at its relaxed geometry (PBE, Alexandria).

a = 6.1246 Å, b = 6.7226 Å, c = 7.4957 Å
α = 90.31°, β = 90.00°, γ = 90.00°
Last column: nearest neighbours and their distance in Å.
Atoms (fractional coordinates):
As1 0.0269 0.2465 0.1167  3 Zr 2.66-2.71, 3 Er 2.74-2.75
As2 0.4731 0.2465 0.6167  3 Zr 2.66-2.71, 3 Er 2.74-2.75
As3 0.9731 0.7535 0.8833  3 Zr 2.66-2.71, 3 Er 2.74-2.75
As4 0.5269 0.7535 0.3833  3 Zr 2.66-2.71, 3 Er 2.74-2.75
Zr1 0.2280 0.0515 0.3807  3 As 2.66-2.71
Zr2 0.2720 0.0515 0.8807  3 As 2.66-2.71
Zr3 0.7280 0.9485 0.1193  3 As 2.66-2.71
Zr4 0.7720 0.9485 0.6193  3 As 2.66-2.71
Er1 0.7634 0.4058 0.3758  3 As 2.74-2.75
Er2 0.7366 0.4058 0.8758  3 As 2.74-2.75
Er3 0.2634 0.5942 0.1242  3 As 2.74-2.75
Er4 0.2366 0.5942 0.6242  3 As 2.74-2.75

## Properties
Calculated volume, Å³ per cell: 308.6
Formation energy from the elements, eV/atom: -0.646
Spin magnetization, μB/cell: 0.0

2.
# Al2Fe5Ge

Crystalline Al2Fe5Ge at its relaxed geometry (PBE, Alexandria).

a = 2.6990 Å, b = 6.5326 Å, c = 6.5326 Å
α = 65.88°, β = 78.08°, γ = 78.08°
Last column: nearest neighbours and their distance in Å.
Atoms (fractional coordinates):
Al1 0.2372 0.2628 0.2628  7 Fe 2.41-2.52, 2 Al 2.70
Al2 0.7628 0.7372 0.7372  7 Fe 2.41-2.52, 2 Al 2.70
Fe1 0.3809 0.8560 0.3822  3 Al 2.41-2.50, 5 Fe 2.50-2.70, 2 Ge 2.63
Fe2 0.0000 0.5000 0.5000  10 Fe 2.50-2.70, 2 Al 2.52
Fe3 0.6191 0.1440 0.6178  3 Al 2.41-2.50, 5 Fe 2.50-2.70, 2 Ge 2.63
Fe4 0.6191 0.6178 0.1440  3 Al 2.41-2.50, 5 Fe 2.50-2.70, 2 Ge 2.63
Fe5 0.3809 0.3822 0.8560  3 Al 2.41-2.50, 5 Fe 2.50-2.70, 2 Ge 2.63
Ge1 0.0000 0.0000 0.0000  8 Fe 2.63, 2 Ge 2.70

## Properties
Calculated volume, Å³ per cell: 101.9
Formation energy from the elements, eV/atom: 0.026
Spin magnetization, μB/cell: 9.5

3.
# SrHSCl2

Crystalline SrHSCl2 at its relaxed geometry (PBE, Alexandria).

a = 5.6723 Å, b = 5.6723 Å, c = 6.2262 Å
α = 90.00°, β = 90.00°, γ = 90.00°
Last column: nearest neighbours and their distance in Å.
Atoms (fractional coordinates):
H1 0.5000 0.5000 0.5000  4 S 4.01, 8 Cl 4.21
Cl1 0.5000 0.0000 0.0000  2 Sr 2.84
Cl2 0.0000 0.5000 0.0000  2 Sr 2.84
S1 0.0000 0.0000 0.5000  2 Sr 3.11
Sr1 0.0000 0.0000 0.0000  4 Cl 2.84, 2 S 3.11

## Properties
Calculated volume, Å³ per cell: 200.3
Spin magnetization, μB/cell: 3.0
Energy above the lowest structure with this stoichiometry, meV/atom: 435

4.
# CaHf2TaN4

Crystalline CaHf2TaN4 at its relaxed geometry (PBE, Alexandria).

a = 6.4506 Å, b = 6.4506 Å, c = 6.4299 Å
α = 119.89°, β = 119.89°, γ = 89.73°
Last column: nearest neighbours and their distance in Å.
Atoms (fractional coordinates):
N1 0.2566 0.2434 0.4992  3 Hf 2.22-2.29, 2 Ta 2.28, 1 Ca 2.34
N2 0.2566 0.2434 0.0008  3 Hf 2.22-2.29, 2 Ta 2.28, 1 Ca 2.34
N3 0.7434 0.7566 0.9992  3 Hf 2.22-2.29, 2 Ta 2.28, 1 Ca 2.34
N4 0.7434 0.7566 0.5008  3 Hf 2.22-2.29, 2 Ta 2.28, 1 Ca 2.34
N5 0.2694 0.7660 0.5177  3 Hf 2.21-2.29, 1 Ta 2.26, 2 Ca 2.37
N6 0.2660 0.7694 0.0177  3 Hf 2.21-2.29, 1 Ta 2.26, 2 Ca 2.37
N7 0.7306 0.2340 0.4823  3 Hf 2.21-2.29, 1 Ta 2.26, 2 Ca 2.37
N8 0.7340 0.2306 0.9823  3 Hf 2.21-2.29, 1 Ta 2.26, 2 Ca 2.37
Ca1 0.0000 0.5000 0.0000  6 N 2.34-2.37
Ca2 0.0000 0.5000 0.5000  6 N 2.34-2.37
Hf1 0.0000 0.0000 0.5000  6 N 2.29
Hf2 0.5000 0.0000 0.5000  6 N 2.21-2.22
Hf3 0.5000 0.0000 0.0000  6 N 2.21-2.22
Hf4 0.5000 0.5000 0.0000  6 N 2.29
Ta1 0.0000 0.0000 0.0000  6 N 2.26-2.28
Ta2 0.5000 0.5000 0.5000  6 N 2.26-2.28

## Properties
Formation energy from raw total energies, meV per atom: -1446
Calculated volume, Å³ per cell: 190.2
Spin magnetization, μB/cell: 0.0

5.
# Cs3SbI6

Crystalline Cs3SbI6 at its relaxed geometry (PBE, Alexandria).

a = 10.6710 Å, b = 10.6710 Å, c = 10.6710 Å
α = 90.93°, β = 90.93°, γ = 90.93°
Last column: nearest neighbours and their distance in Å.
Atoms (fractional coordinates):
I1 0.9200 0.7308 0.0611  1 Sb 3.07
I2 0.2241 0.5494 0.4372  1 Sb 3.06
I3 0.4372 0.2241 0.5494  1 Sb 3.06
I4 0.7308 0.0611 0.9200  1 Sb 3.07
I5 0.4506 0.5628 0.7759  1 Sb 3.06
I6 0.5628 0.7759 0.4506  1 Sb 3.06
I7 0.2692 0.9389 0.0800  1 Sb 3.07
I8 0.0800 0.2692 0.9389  1 Sb 3.07
I9 0.7759 0.4506 0.5628  1 Sb 3.06
I10 0.5494 0.4372 0.2241  1 Sb 3.06
I11 0.0611 0.9200 0.7308  1 Sb 3.07
I12 0.9389 0.0800 0.2692  1 Sb 3.07
Cs1 0.7525 0.4288 0.9229  6 I 3.86-3.93
Cs2 0.5712 0.0771 0.2475  6 I 3.86-3.93
Cs3 0.9229 0.7525 0.4288  6 I 3.86-3.93
Cs4 0.0771 0.2475 0.5712  6 I 3.86-3.93
Cs5 0.2475 0.5712 0.0771  6 I 3.86-3.93
Cs6 0.4288 0.9229 0.7525  6 I 3.86-3.93
Sb1 0.0000 0.0000 0.0000  6 I 3.07
Sb2 0.5000 0.5000 0.5000  6 I 3.06

## Properties
Formation energy from raw total energies, meV per atom: -1074
Calculated volume, Å³ per cell: 1214.6
Spin magnetization, μB/cell: 0.0
Energy above the lowest structure with this stoichiometry, meV/atom: 3

6.
# CaSb2Au

Crystalline CaSb2Au at its relaxed geometry (PBE, Alexandria).

a = 5.2447 Å, b = 5.2447 Å, c = 5.2447 Å
α = 60.00°, β = 60.00°, γ = 60.00°
Last column: nearest neighbours and their distance in Å.
Atoms (fractional coordinates):
Sb1 0.2500 0.2500 0.2500  4 Au 3.21, 4 Ca 3.21
Sb2 0.7500 0.7500 0.7500  4 Ca 3.21, 4 Au 3.21
Ca1 0.0000 0.0000 0.0000  8 Sb 3.21
Au1 0.5000 0.5000 0.5000  8 Sb 3.21

## Properties
Formation energy from raw total energies, meV per atom: -196
Calculated volume, Å³ per cell: 102.0
Spin magnetization, μB/cell: 0.0